Entry 1:
MgRe3Pd after structural relaxation, computed with GGA-PBE.

Cell: 4.725 4.725 4.725 Å, 90.00 90.00 90.00°
Space group Pm-3m (No. 221)
One atom of each set of equivalent atoms:
1 Mg 0.000 0.000 0.000 x1
2 Re 0.000 0.500 0.500 x3
3 Pd 0.500 0.500 0.500 x1

Summary:
V = 21.092 Å³ per atom
VASP energy = -6.452 eV per atom
theoretical density = 10.85 Mg/m³
crystal system = cubic
energy relative to the lowest polymorph listed for this composition = 0 meV/atom
ΔE_f = 2375 meV/atom
spin magnetization = 0.00 μB per formula unit

***

Entry 2:
Mg2RePd after structural relaxation, computed with GGA-PBE.

Cell: 6.386 6.386 6.386 Å, 90.00 90.00 90.00°
Space group Fm-3m (No. 225)
One atom of each set of equivalent atoms:
1 Mg 0.250 0.250 0.250 x8
2 Re 0.000 0.000 0.000 x4
3 Pd 0.000 0.000 0.500 x4

Summary:
V = 16.278 Å³ per atom
VASP energy = -4.928 eV per atom
theoretical density = 8.70 Mg/m³
crystal system = cubic
energy relative to the lowest polymorph listed for this composition = 0 meV/atom
ΔE_f = 280 meV/atom
spin magnetization = 1.63 μB per formula unit

***

Entry 3:
Mg2RePd after structural relaxation, computed with GGA-PBE.

Cell: 7.163 7.163 5.506 Å, 90.00 90.00 90.00°
Space group I-42d (No. 122)
One atom of each set of equivalent atoms:
1 Mg 0.231 0.750 0.125 x8
2 Re 0.000 0.000 0.500 x4
3 Pd 0.000 0.000 0.000 x4

Summary:
V = 17.657 Å³ per atom
VASP energy = -4.597 eV per atom
theoretical density = 8.02 Mg/m³
crystal system = tetragonal
energy relative to the lowest polymorph listed for this composition = 331 meV/atom
ΔE_f = 611 meV/atom
spin magnetization = 0.52 μB per formula unit